Record 1
Below is a relaxed structure of Ca5ErIn6, with properties calculated at the PBE-GGA level.

extended XYZ file:
```
12
Lattice="8.4825 -3.8829 0.0000 8.4825 3.8829 0.0000 -1.6603 0.0000 5.1237" Properties=species:S:1:pos:R:3 pbc="T T T"
Ca 0.0000 0.0000 0.0000
Ca 1.6970 0.0000 3.4073
Ca 5.0204 0.0000 1.6797
Ca 10.2842 0.0000 3.4440
Ca 13.6077 0.0000 1.7164
Er 8.4825 0.0000 0.0000
In 4.3250 1.8929 4.2889
In 7.6523 1.8611 2.5619
In 10.9796 1.8929 0.8348
In 4.3250 -1.8929 4.2889
In 7.6523 -1.8611 2.5619
In 10.9796 -1.8929 0.8348
```

space group = C2/m, No. 12
E_tot = -3.05 eV/atom
formation energy = -465 meV/atom
calculated volume = 28.1 Å³ per atom
total magnetic moment = 0.00 μB per cell

***

Record 2
Below is a relaxed structure of Ca4ErIn5, with properties calculated at the PBE-GGA level.

extended XYZ file:
```
10
Lattice="3.8408 0.0000 0.0000 0.0000 3.8408 0.0000 0.0000 0.0000 19.0083" Properties=species:S:1:pos:R:3 pbc="T T T"
Ca 0.0000 0.0000 1.9281
Ca 0.0000 0.0000 5.7475
Ca 0.0000 0.0000 13.2609
Ca 0.0000 0.0000 17.0803
Er 0.0000 0.0000 9.5042
In 1.9204 1.9204 0.0000
In 1.9204 1.9204 3.8357
In 1.9204 1.9204 7.7140
In 1.9204 1.9204 11.2943
In 1.9204 1.9204 15.1726
```

space group = P4/mmm, No. 123
E_tot = -3.09 eV/atom
formation energy = -461 meV/atom
calculated volume = 28.0 Å³ per atom
total magnetic moment = 0.00 μB per cell

***

Record 3
Below is a relaxed structure of CaEr5In3, with properties calculated at the PBE-GGA level.

extended XYZ file:
```
18
Lattice="9.2785 0.0000 0.0000 -4.6393 8.0354 0.0000 0.0000 0.0000 6.7332" Properties=species:S:1:pos:R:3 pbc="T T T"
Ca 0.0000 0.0000 0.0000
Ca 0.0000 0.0000 3.3666
Er -1.5540 2.6916 1.6833
Er -3.0853 5.3438 5.0499
Er 0.0000 5.3570 0.0000
Er 0.0000 5.3570 3.3666
Er 3.1080 0.0000 1.6833
Er 1.5540 2.6916 5.0499
Er 6.1705 0.0000 5.0499
Er 3.0853 5.3438 1.6833
Er 4.6393 2.6785 0.0000
Er 4.6393 2.6785 3.3666
In -1.5507 2.6859 5.0499
In -3.0886 5.3495 1.6833
In 3.1014 0.0000 5.0499
In 1.5507 2.6859 1.6833
In 6.1771 0.0000 1.6833
In 3.0886 5.3495 5.0499
```

space group = P6_3/mcm, No. 193
E_tot = -4.03 eV/atom
formation energy = -355 meV/atom
calculated volume = 27.9 Å³ per atom
total magnetic moment = 0.00 μB per cell

***

Record 4
Below is a relaxed structure of CaEr2In3, with properties calculated at the PBE-GGA level.

extended XYZ file:
```
6
Lattice="3.6248 0.0000 0.0000 0.0000 3.6248 0.0000 0.0000 0.0000 12.2030" Properties=species:S:1:pos:R:3 pbc="T T T"
Ca 0.0000 0.0000 0.0000
Er 0.0000 0.0000 4.0925
Er 0.0000 0.0000 8.1105
In 1.8124 1.8124 2.1117
In 1.8124 1.8124 6.1015
In 1.8124 1.8124 10.0913
```

space group = P4/mmm, No. 123
E_tot = -3.67 eV/atom
formation energy = -445 meV/atom
calculated volume = 26.7 Å³ per atom
total magnetic moment = 0.00 μB per cell

***

Record 5
Below is a relaxed structure of CaEr5In6, with properties calculated at the PBE-GGA level.

extended XYZ file:
```
12
Lattice="-2.6617 3.7104 7.9892 2.6617 -3.7104 7.9892 2.6617 3.7104 -7.9892" Properties=species:S:1:pos:R:3 pbc="T T T"
Ca 0.0000 0.0000 0.0000
Er 2.6617 0.0000 2.6125
Er 0.0000 0.0000 5.3063
Er 0.0000 3.7104 0.0000
Er 0.0000 0.0000 10.6721
Er 0.0000 3.7104 5.3767
In 2.6617 -1.8320 5.3053
In 2.6617 1.9014 0.0000
In 0.0000 1.8783 2.6839
In 2.6617 1.8320 5.3053
In 0.0000 1.8090 7.9892
In 0.0000 5.5424 2.6839
```

space group = Immm, No. 71
E_tot = -3.88 eV/atom
formation energy = -440 meV/atom
calculated volume = 26.3 Å³ per atom
total magnetic moment = 0.00 μB per cell

***

Record 6
Below is a relaxed structure of CaEr3In4, with properties calculated at the PBE-GGA level.

extended XYZ file:
```
16
Lattice="10.6703 0.0000 0.0000 0.0000 7.4460 0.0000 0.0000 0.0000 5.3362" Properties=species:S:1:pos:R:3 pbc="T T T"
Ca 0.0000 0.0000 0.0000
Ca 5.3351 0.0000 0.0000
Er 0.0000 3.7230 0.0000
Er 2.6676 0.0000 2.6601
Er 2.6676 3.7230 2.6593
Er 5.3351 3.7230 0.0000
Er 8.0027 0.0000 2.6761
Er 8.0027 3.7230 2.6769
In 0.0000 1.8868 2.6681
In 0.0000 5.5592 2.6681
In 2.6676 1.8860 5.3260
In 2.6676 5.5600 5.3260
In 5.3351 1.8868 2.6681
In 5.3351 5.5592 2.6681
In 8.0027 1.8860 0.0102
In 8.0027 5.5600 0.0102
```

space group = Pmma, No. 51
E_tot = -3.77 eV/atom
formation energy = -438 meV/atom
calculated volume = 26.5 Å³ per atom
total magnetic moment = 0.00 μB per cell

***

Record 7
Below is a relaxed structure of Ca3ErIn12, with properties calculated at the PBE-GGA level.

extended XYZ file:
```
16
Lattice="4.7174 0.0000 0.0000 0.0000 4.7174 0.0000 0.0000 0.0000 18.6212" Properties=species:S:1:pos:R:3 pbc="T T T"
Ca 0.0000 0.0000 0.0000
Ca 0.0000 0.0000 4.6953
Ca 0.0000 0.0000 13.9259
Er 0.0000 0.0000 9.3106
In 0.0000 2.3587 2.3421
In 0.0000 2.3587 7.0298
In 0.0000 2.3587 11.5914
In 0.0000 2.3587 16.2791
In 2.3587 0.0000 2.3421
In 2.3587 0.0000 7.0298
In 2.3587 0.0000 11.5914
In 2.3587 0.0000 16.2791
In 2.3587 2.3587 0.0000
In 2.3587 2.3587 4.6774
In 2.3587 2.3587 9.3106
In 2.3587 2.3587 13.9438
```

space group = P4/mmm, No. 123
E_tot = -3.05 eV/atom
formation energy = -333 meV/atom
calculated volume = 25.9 Å³ per atom
total magnetic moment = 0.00 μB per cell

***

Record 8
Below is a relaxed structure of CaErIn, with properties calculated at the PBE-GGA level.

extended XYZ file:
```
6
Lattice="5.2572 0.0000 0.0000 -2.6286 4.5528 0.0000 0.0000 0.0000 7.7051" Properties=species:S:1:pos:R:3 pbc="T T T"
Ca 0.0000 3.0352 2.8823
Ca 2.6286 1.5176 4.8228
Er 0.0000 3.0352 6.9242
Er 2.6286 1.5176 0.7809
In 0.0000 0.0000 1.5796
In 0.0000 0.0000 6.1255
```

space group = P-3m1, No. 164
E_tot = -3.34 eV/atom
formation energy = -236 meV/atom
calculated volume = 30.7 Å³ per atom
total magnetic moment = 0.00 μB per cell

***

Record 9
Below is a relaxed structure of CaErIn2, with properties calculated at the PBE-GGA level.

extended XYZ file:
```
4
Lattice="3.7730 0.0000 0.0000 0.0000 3.7730 0.0000 0.0000 0.0000 7.6597" Properties=species:S:1:pos:R:3 pbc="T T T"
Ca 0.0000 0.0000 0.0000
Er 0.0000 0.0000 3.8299
In 1.8865 1.8865 1.9880
In 1.8865 1.8865 5.6718
```

space group = P4/mmm, No. 123
E_tot = -3.47 eV/atom
formation energy = -458 meV/atom
calculated volume = 27.3 Å³ per atom
total magnetic moment = 0.00 μB per cell

***

Record 10
Below is a relaxed structure of CaEr7In4, with properties calculated at the PBE-GGA level.

extended XYZ file:
```
12
Lattice="6.9788 -2.8180 0.0000 6.9788 2.8180 0.0000 -6.2335 0.0000 8.9899" Properties=species:S:1:pos:R:3 pbc="T T T"
Ca 0.0000 0.0000 0.0000
Er -1.5713 0.0000 3.4350
Er -2.3966 0.0000 7.8667
Er 2.0183 0.0000 3.4563
Er 6.9788 0.0000 0.0000
Er 5.7058 0.0000 5.5336
Er 10.1208 0.0000 1.1231
Er 9.2955 0.0000 5.5549
In 0.1927 0.0000 6.0264
In 4.6380 0.0000 2.0003
In 3.0862 0.0000 6.9895
In 7.5315 0.0000 2.9635
```

space group = C2/m, No. 12
E_tot = -3.80 eV/atom
formation energy = -59 meV/atom
calculated volume = 29.5 Å³ per atom
total magnetic moment = 0.00 μB per cell

***

Record 11
Below is a relaxed structure of CaErIn4, with properties calculated at the PBE-GGA level.

extended XYZ file:
```
6
Lattice="0.0000 4.2801 4.2801 4.2801 0.0000 4.2801 4.2801 4.2801 0.0000" Properties=species:S:1:pos:R:3 pbc="T T T"
Ca 0.0000 0.0000 0.0000
Er 6.4202 6.4202 6.4202
In 3.2121 3.2121 3.2121
In 5.3482 5.3482 3.2121
In 5.3482 3.2121 5.3482
In 3.2121 5.3482 5.3482
```

space group = F-43m, No. 216
E_tot = -3.20 eV/atom
formation energy = -283 meV/atom
calculated volume = 26.1 Å³ per atom
total magnetic moment = 0.00 μB per cell

***

Record 12
Below is a relaxed structure of CaErIn4, with properties calculated at the PBE-GGA level.

extended XYZ file:
```
6
Lattice="4.3156 -2.4937 0.0000 4.3156 2.4937 0.0000 -0.0065 0.0000 7.3394" Properties=species:S:1:pos:R:3 pbc="T T T"
Ca 0.0000 0.0000 0.0000
Er 8.6249 0.0000 3.6698
In 2.8737 0.0000 2.1292
In 2.8702 0.0000 5.2107
In 5.7519 0.0000 1.5895
In 5.7480 0.0000 5.7490
```

space group = Cm, No. 8
E_tot = -3.29 eV/atom
formation energy = -371 meV/atom
calculated volume = 26.3 Å³ per atom
total magnetic moment = 0.00 μB per cell

***

Record 13
Below is a relaxed structure of CaErIn, with properties calculated at the PBE-GGA level.

extended XYZ file:
```
3
Lattice="5.3308 0.0000 0.0000 -2.6654 4.6166 0.0000 0.0000 0.0000 3.6205" Properties=species:S:1:pos:R:3 pbc="T T T"
Ca 0.0000 0.0000 0.0000
Er 2.6654 1.5389 2.0289
In 0.0000 3.0778 1.1513
```

space group = P3m1, No. 156
E_tot = -3.29 eV/atom
formation energy = -189 meV/atom
calculated volume = 29.7 Å³ per atom
total magnetic moment = 0.00 μB per cell

***

Record 14
Below is a relaxed structure of CaErIn, with properties calculated at the PBE-GGA level.

extended XYZ file:
```
3
Lattice="-1.8060 1.8060 6.9856 1.8060 -1.8060 6.9856 1.8060 1.8060 -6.9856" Properties=species:S:1:pos:R:3 pbc="T T T"
Ca 0.0000 0.0000 0.0000
Er 0.0000 0.0000 4.1092
In 0.0000 0.0000 9.1525
```

space group = I4mm, No. 107
E_tot = -3.35 eV/atom
formation energy = -251 meV/atom
calculated volume = 30.4 Å³ per atom
total magnetic moment = 0.15 μB per cell

***

Record 15
Below is a relaxed structure of Ca5ErIn3, with properties calculated at the PBE-GGA level.

extended XYZ file:
```
18
Lattice="9.5249 0.0000 0.0000 -4.7625 8.2488 0.0000 0.0000 0.0000 7.0533" Properties=species:S:1:pos:R:3 pbc="T T T"
Ca -1.6145 2.7963 1.7633
Ca -3.1480 5.4525 5.2900
Ca 0.0000 5.4992 0.0000
Ca 0.0000 5.4992 3.5267
Ca 3.2289 0.0000 1.7633
Ca 1.6145 2.7963 5.2900
Ca 6.2960 0.0000 5.2900
Ca 3.1480 5.4525 1.7633
Ca 4.7625 2.7496 0.0000
Ca 4.7625 2.7496 3.5267
Er 0.0000 0.0000 0.0000
Er 0.0000 0.0000 3.5267
In -1.5163 2.6263 5.2900
In -3.2462 5.6226 1.7633
In 3.0325 0.0000 5.2900
In 1.5163 2.6263 1.7633
In 6.4924 0.0000 1.7633
In 3.2462 5.6226 5.2900
```

space group = P6_3/mcm, No. 193
E_tot = -2.87 eV/atom
formation energy = -334 meV/atom
calculated volume = 30.8 Å³ per atom
total magnetic moment = 0.00 μB per cell

***

Record 16
Below is a relaxed structure of CaErIn, with properties calculated at the PBE-GGA level.

extended XYZ file:
```
6
Lattice="-1.7476 1.7476 15.0868 1.7476 -1.7476 15.0868 1.7476 1.7476 -15.0868" Properties=species:S:1:pos:R:3 pbc="T T T"
Ca 0.0000 0.0000 1.8552
Ca 0.0000 0.0000 28.3184
Er 0.0000 0.0000 6.2767
Er 0.0000 0.0000 23.8969
In 0.0000 0.0000 11.0009
In 0.0000 0.0000 19.1727
```

space group = I4/mmm, No. 139
E_tot = -3.35 eV/atom
formation energy = -253 meV/atom
calculated volume = 30.7 Å³ per atom
total magnetic moment = 0.00 μB per cell

***

Record 17
Below is a relaxed structure of CaErIn6, with properties calculated at the PBE-GGA level.

extended XYZ file:
```
8
Lattice="4.6669 0.0000 0.0000 0.0000 4.6669 0.0000 0.0000 0.0000 9.3602" Properties=species:S:1:pos:R:3 pbc="T T T"
Ca 0.0000 0.0000 0.0000
Er 0.0000 0.0000 4.6801
In 0.0000 2.3335 2.3706
In 0.0000 2.3335 6.9896
In 2.3335 0.0000 2.3706
In 2.3335 0.0000 6.9896
In 2.3335 2.3335 0.0000
In 2.3335 2.3335 4.6801
```

space group = P4/mmm, No. 123
E_tot = -3.23 eV/atom
formation energy = -357 meV/atom
calculated volume = 25.5 Å³ per atom
total magnetic moment = 0.00 μB per cell

***

Record 18
Below is a relaxed structure of CaEr4In5, with properties calculated at the PBE-GGA level.

extended XYZ file:
```
10
Lattice="3.7305 0.0000 0.0000 0.0000 3.7305 0.0000 0.0000 0.0000 19.0763" Properties=species:S:1:pos:R:3 pbc="T T T"
Ca 0.0000 0.0000 0.0000
Er 0.0000 0.0000 3.8939
Er 0.0000 0.0000 7.6702
Er 0.0000 0.0000 11.4061
Er 0.0000 0.0000 15.1824
In 1.8652 1.8652 2.0291
In 1.8652 1.8652 5.7940
In 1.8652 1.8652 9.5381
In 1.8652 1.8652 13.2823
In 1.8652 1.8652 17.0472
```

space group = P4/mmm, No. 123
E_tot = -3.84 eV/atom
formation energy = -445 meV/atom
calculated volume = 26.5 Å³ per atom
total magnetic moment = 0.00 μB per cell

***

Record 19
Below is a relaxed structure of Li2Ca2ErIn5, with properties calculated at the PBE-GGA level.

extended XYZ file:
```
20
Lattice="10.3640 0.0000 0.0000 0.0000 10.3640 0.0000 0.0000 0.0000 4.5523" Properties=species:S:1:pos:R:3 pbc="T T T"
Li 1.2146 3.9673 0.0000
Li 3.9673 9.1493 0.0000
Li 6.3966 1.2146 0.0000
Li 9.1493 6.3966 0.0000
Ca 1.8435 7.0255 0.0000
Ca 3.3385 1.8435 0.0000
Ca 7.0255 8.5205 0.0000
Ca 8.5205 3.3385 0.0000
Er 0.0000 0.0000 0.0000
Er 5.1820 5.1820 0.0000
In 0.0000 5.1820 2.2762
In 0.6748 2.1731 2.2762
In 2.1731 9.6891 2.2762
In 3.0089 4.5072 2.2762
In 4.5072 7.3550 2.2762
In 5.1820 0.0000 2.2762
In 5.8568 3.0089 2.2762
In 7.3550 5.8568 2.2762
In 8.1909 0.6748 2.2762
In 9.6891 8.1909 2.2762
```

space group = P4/mbm, No. 127
E_tot = -2.99 eV/atom
formation energy = -382 meV/atom
calculated volume = 24.4 Å³ per atom
total magnetic moment = 0.00 μB per cell

***

Record 20
Below is a relaxed structure of LiCaEr2In4, with properties calculated at the PBE-GGA level.

extended XYZ file:
```
8
Lattice="2.6147 1.5096 8.6218 -2.6147 1.5096 8.6218 0.0000 -3.0192 8.6218" Properties=species:S:1:pos:R:3 pbc="T T T"
Li 0.0000 0.0000 0.0000
Ca 0.0000 0.0000 12.9326
Er 0.0000 0.0000 6.5154
Er 0.0000 0.0000 19.3499
In 0.0000 0.0000 3.1320
In 0.0000 0.0000 9.6348
In 0.0000 0.0000 16.2305
In 0.0000 0.0000 22.7332
```

space group = R-3m, No. 166
E_tot = -3.38 eV/atom
formation energy = -383 meV/atom
calculated volume = 25.5 Å³ per atom
total magnetic moment = 0.00 μB per cell